[1]
{"formula": "AlCd2Te", "functional": "GGA-PBE", "state": "relaxed", "de_polymorph_ev_per_fu": 0.701, "lattice": [[2.1535, -2.5388, 0.0000], [2.1535, 2.5388, 0.0000], [0.0000, 0.0000, 8.8572]], "species": ["Al", "Cd", "Cd", "Te"], "fractional_positions": [[0.0000, 0.0000, 0.0000], [0.5000, 0.5000, 0.2192], [0.5000, 0.5000, 0.7808], [0.0000, 0.0000, 0.5000]]}

[2]
{"formula": "SrTm2Tl9", "functional": "GGA-PBE", "state": "relaxed", "ef_ev_per_atom": -0.207, "lattice": [[4.8346, 0.0000, 0.0000], [0.0000, 4.8346, 0.0000], [0.0000, 0.0000, 14.4337]], "species": ["Sr", "Tm", "Tm", "Tl", "Tl", "Tl", "Tl", "Tl", "Tl", "Tl", "Tl", "Tl"], "fractional_positions": [[0.0000, 0.0000, 0.0000], [0.0000, 0.0000, 0.3430], [0.0000, 0.0000, 0.6570], [0.0000, 0.5000, 0.1770], [0.0000, 0.5000, 0.5000], [0.0000, 0.5000, 0.8230], [0.5000, 0.0000, 0.1770], [0.5000, 0.0000, 0.5000], [0.5000, 0.0000, 0.8230], [0.5000, 0.5000, 0.0000], [0.5000, 0.5000, 0.3348], [0.5000, 0.5000, 0.6652]]}

[3]
{"formula": "LiScAsPt", "functional": "GGA-PBE", "state": "relaxed", "ef_ev_per_atom": -0.861, "lattice": [[0.0000, 3.2198, 3.2198], [3.2198, 0.0000, 3.2198], [3.2198, 3.2198, 0.0000]], "species": ["Li", "Sc", "As", "Pt"], "fractional_positions": [[0.0000, 0.0000, 0.0000], [0.5000, 0.5000, 0.5000], [0.7500, 0.7500, 0.7500], [0.2500, 0.2500, 0.2500]]}

[4]
{"formula": "KLi2Hg", "functional": "GGA-PBE", "state": "relaxed", "ef_ev_per_atom": -0.132, "lattice": [[4.1944, -2.3533, 0.0000], [4.1944, 2.3533, 0.0000], [-2.6320, 0.0000, 6.2436]], "species": ["K", "Li", "Li", "Hg"], "fractional_positions": [[0.0000, 0.0000, 0.0000], [0.1941, 0.1941, 0.5835], [0.8059, 0.8059, 0.4165], [0.5000, 0.5000, 0.5000]]}

[5]
{"formula": "La2ZnRu", "functional": "GGA-PBE", "state": "relaxed", "ef_ev_per_atom": -0.259, "lattice": [[4.1646, 0.0000, 0.0000], [0.0000, 4.4655, 0.0000], [-2.0666, 0.0000, 5.4819]], "species": ["La", "La", "Zn", "Ru"], "fractional_positions": [[0.0000, 0.0000, 0.0000], [0.2737, 0.5000, 0.5500], [0.7036, 0.0000, 0.4092], [0.5675, 0.5000, 0.1389]]}

[6]
{"formula": "SmDy2ErSb4", "functional": "GGA-PBE", "state": "relaxed", "lattice": [[7.6178, 0.0000, 0.0000], [0.0000, 4.4012, 0.0000], [-2.5404, 0.0000, 7.1828]], "species": ["Sm", "Dy", "Dy", "Er", "Sb", "Sb", "Sb", "Sb"], "fractional_positions": [[0.0000, 0.0000, 0.0000], [0.0000, 0.5000, 0.5000], [0.5000, 0.0000, 0.5000], [0.5000, 0.5000, 0.0000], [0.2533, 0.0000, 0.7496], [0.2545, 0.5000, 0.2530], [0.7455, 0.5000, 0.7470], [0.7467, 0.0000, 0.2504]]}

[7]
{"formula": "LiErZrSe4", "functional": "GGA-PBE", "state": "relaxed", "lattice": [[-3.9534, 4.0917, 5.7070], [3.9534, -4.0917, 5.7070], [3.9534, 4.0917, -5.7070]], "species": ["Li", "Li", "Er", "Er", "Zr", "Zr", "Se", "Se", "Se", "Se", "Se", "Se", "Se", "Se"], "fractional_positions": [[0.3742, 0.1242, 0.2500], [0.6258, 0.8758, 0.7500], [0.0000, 0.5000, 0.5000], [0.5000, 0.5000, 0.0000], [0.0000, 0.0000, 0.5000], [0.0000, 0.5000, 0.0000], [0.2312, 0.7498, 0.4814], [0.2316, 0.2502, 0.9814], [0.2368, 0.2405, 0.5037], [0.2368, 0.7331, 0.9963], [0.7632, 0.2669, 0.0037], [0.7632, 0.7595, 0.4963], [0.7684, 0.7498, 0.0186], [0.7688, 0.2502, 0.5186]]}

[8]
{"formula": "TiVTe4", "functional": "GGA-PBE", "state": "relaxed", "lattice": [[7.6583, -1.8504, 0.0000], [7.6583, 1.8504, 0.0000], [-2.6650, 0.0000, 5.8323]], "species": ["Ti", "V", "Te", "Te", "Te", "Te"], "fractional_positions": [[0.0000, 0.0000, 0.0000], [0.5000, 0.5000, 0.5000], [0.1234, 0.1234, 0.4603], [0.3747, 0.3747, 0.0443], [0.6253, 0.6253, 0.9557], [0.8766, 0.8766, 0.5397]]}

| no. | magnetization (μB per formula unit) | total DFT energy (no corrections) (eV/cell) |
| --- | --- | --- |
| 1 | 0.00 | -8.109 |
| 2 | 0.00 | -34.405 |
| 3 | 0.00 | -22.380 |
| 4 | 0.00 | -5.755 |
| 5 | 0.00 | -21.441 |
| 6 | 0.00 | -44.022 |
| 7 | 0.00 | -79.280 |
| 8 | 1.34 | -32.567 |